# NdNbGa2, relaxed, DFT PBE
data_NdNbGa2
_chemical_formula_sum 'Nd3 Nb3 Ga6'
_symmetry_space_group_name_H-M 'R -3 m'
_symmetry_Int_Tables_number 166
_symmetry_space_group_name_Hall '-R 3 2"'
_cell_length_a 3.1571
_cell_length_b 3.1571
_cell_length_c 29.1105
_cell_angle_alpha 90.00
_cell_angle_beta 90.00
_cell_angle_gamma 120.00
loop_
_atom_site_label
_atom_site_fract_x
_atom_site_fract_y
_atom_site_fract_z
Nd1 0.0000 0.0000 0.0000
Nb1 0.0000 0.0000 0.5000
Ga1 0.0000 0.0000 0.2417
# energy relative to the lowest polymorph listed for this composition	1.07	eV/f.u.
# total magnetization	0.0	μB/f.u.